16
Lattice="6.985 0.000 0.000 0.000 6.985 0.000 0.000 0.000 6.985" Properties=species:S:1:pos:R:3 comment="AcCu2Au (PBE, relaxed)" dft_energy_ev_per_cell=-64.9 polymorph_energy_ev_per_atom=0.183 formation_energy_mev_per_atom=-160.2 rho_g_cm3=10.7 space_group="Fm-3m, No. 225" dos_at_fermi_per_ev_cell=6.89 magmom_total_mub_per_fu=0.00 pbc="T T T"
Ac 0.000 0.000 0.000
Ac 0.000 3.492 3.492
Ac 3.492 0.000 3.492
Ac 3.492 3.492 0.000
Cu 1.746 1.746 1.746
Cu 1.746 1.746 5.239
Cu 1.746 5.239 1.746
Cu 1.746 5.239 5.239
Cu 5.239 1.746 1.746
Cu 5.239 1.746 5.239
Cu 5.239 5.239 1.746
Cu 5.239 5.239 5.239
Au 0.000 0.000 3.492
Au 0.000 3.492 0.000
Au 3.492 0.000 0.000
Au 3.492 3.492 3.492

***

12
Lattice="3.681 -6.372 0.000 3.681 6.372 0.000 -2.451 0.000 7.649" Properties=species:S:1:pos:R:3 comment="SmTl3Sb2Se6 (PBE, relaxed)" dft_energy_ev_per_cell=-49.3 raw_formation_energy_ev_per_atom=-0.697 rho_g_cm3=6.9 space_group="C2/m, No. 12" magmom_total_mub_per_fu=0.00 pbc="T T T"
Sm 0.000 0.000 0.000
Tl 2.456 4.273 3.824
Tl 2.456 0.000 3.824
Tl 2.456 -4.273 3.824
Sb 3.681 2.120 0.000
Sb 3.681 -2.120 0.000
Se 1.243 2.147 1.603
Se 0.033 0.000 6.069
Se 1.243 -2.147 1.603
Se 3.668 2.147 6.046
Se 4.878 0.000 1.580
Se 3.668 -2.147 6.046

***

16
Lattice="8.856 0.000 0.000 0.000 8.856 0.000 0.000 0.000 7.448" Properties=species:S:1:pos:R:3 comment="Rb2ScZnTe4 (PBE, relaxed)" dft_energy_ev_per_cell=-56.7 raw_formation_energy_ev_per_atom=-0.783 rho_g_cm3=4.5 space_group="I-42m, No. 121" dos_at_fermi_per_ev_cell=19.68 magmom_total_mub_per_fu=0.00 pbc="T T T"
Rb 0.000 4.428 0.000
Rb 0.000 4.428 3.724
Rb 4.428 0.000 0.000
Rb 4.428 0.000 3.724
Sc 0.000 0.000 0.000
Sc 4.428 4.428 3.724
Zn 0.000 0.000 3.724
Zn 4.428 4.428 0.000
Te 1.443 1.443 1.957
Te 1.443 7.413 5.491
Te 2.985 2.985 5.681
Te 2.985 5.871 1.767
Te 5.871 2.985 1.767
Te 5.871 5.871 5.681
Te 7.413 1.443 5.491
Te 7.413 7.413 1.957

***

12
Lattice="3.435 0.000 0.000 -1.717 2.975 0.000 0.000 0.000 36.704" Properties=species:S:1:pos:R:3 comment="Pr2HfTh (PBE, relaxed)" dft_energy_ev_per_cell=-75.8 formation_energy_mev_per_atom=417.3 rho_g_cm3=9.2 space_group="R-3m, No. 166" dos_at_fermi_per_ev_cell=19.94 magmom_total_mub_per_fu=0.00 pbc="T T T"
Pr 0.000 0.000 3.136
Pr 0.000 0.000 33.568
Pr 0.000 1.983 21.334
Pr 0.000 1.983 27.605
Pr 1.717 0.992 9.099
Pr 1.717 0.992 15.371
Hf 0.000 0.000 0.000
Hf 0.000 1.983 24.470
Hf 1.717 0.992 12.235
Th 0.000 0.000 18.352
Th 0.000 1.983 6.117
Th 1.717 0.992 30.587

***

11
Lattice="5.025 -7.308 0.000 5.025 7.308 0.000 -2.256 0.000 7.158" Properties=species:S:1:pos:R:3 comment="Ba8GaAu2 (PBE, relaxed)" dft_energy_ev_per_cell=-28.0 formation_energy_mev_per_atom=-277.8 rho_g_cm3=4.9 space_group="Cm, No. 8" dos_at_fermi_per_ev_cell=14.70 magmom_total_mub_per_fu=0.00 pbc="T T T"
Ba 0.000 0.000 0.000
Ba 5.164 -5.254 4.033
Ba 3.024 2.976 1.355
Ba 5.164 5.254 4.033
Ba 3.808 1.963 5.742
Ba 3.024 -2.976 1.355
Ba 3.808 -1.963 5.742
Ba 6.203 0.000 2.891
Ga 2.667 0.000 3.047
Au 1.981 4.651 5.026
Au 1.981 -4.651 5.026

***

10
Lattice="-2.168 2.168 15.313 2.168 -2.168 15.313 2.168 2.168 -15.313" Properties=species:S:1:pos:R:3 comment="La4PuAs5 (PBE, relaxed)" dft_energy_ev_per_cell=-71.7 formation_energy_mev_per_atom=-1437.7 rho_g_cm3=6.8 space_group="I4/mmm, No. 139" dos_at_fermi_per_ev_cell=15.45 magmom_total_mub_per_fu=4.87 pbc="T T T"
La 0.000 0.000 3.039
La 0.000 0.000 9.205
La 0.000 0.000 21.421
La 0.000 0.000 27.588
Pu 0.000 0.000 15.313
As 0.000 0.000 0.000
As 0.000 0.000 6.114
As 0.000 0.000 12.348
As 0.000 0.000 18.279
As 0.000 0.000 24.512